[1]
The following is a GGA-PBE calculation of a relaxed structure of SmHo3Ru4, from Alexandria via LeMat-Bulk.

Cell lengths 8.3396, 8.3396, 8.3396 Å; angles 33.55, 33.55, 33.55 degrees
Atoms (fractional coordinates):
Sm: 0.0000 0.0000 0.0000
Ho: 0.2487 0.2487 0.2487
Ho: 0.5000 0.5000 0.5000
Ho: 0.7513 0.7513 0.7513
Ru: 0.1258 0.1258 0.1258
Ru: 0.3758 0.3758 0.3758
Ru: 0.6242 0.6242 0.6242
Ru: 0.8742 0.8742 0.8742

E_tot in eV for the cell shown: -57.94
Energy of formation from the pure elements in kJ/mol of atoms: -28.8
Total magnetic moment in μB/cell: 0.00

[2]
The following is a GGA-PBE calculation of a relaxed structure of BeV3Mo, from Alexandria via LeMat-Bulk.

Cell lengths 4.5072, 4.5072, 4.5072 Å; angles 90.00, 90.00, 90.00 degrees
Atoms (fractional coordinates):
Be: 0.0000 0.0000 0.0000
V: 0.0000 0.5000 0.5000
V: 0.5000 0.0000 0.5000
V: 0.5000 0.5000 0.0000
Mo: 0.5000 0.5000 0.5000

E_tot in eV for the cell shown: -34.23
Energy relative to the lowest polymorph listed for this composition in eV/atom: 0.853
Energy of formation from the pure elements in kJ/mol of atoms: 148.2
Total magnetic moment in μB/cell: 0.00

[3]
The following is a GGA-PBE calculation of a relaxed structure of K2PtBr, from Alexandria via LeMat-Bulk.

Cell lengths 5.4014, 5.4014, 5.4014 Å; angles 60.00, 60.00, 60.00 degrees
Atoms (fractional coordinates):
K: 0.0000 0.0000 0.0000
K: 0.2500 0.2500 0.2500
Pt: 0.5000 0.5000 0.5000
Br: 0.7500 0.7500 0.7500

E_tot in eV for the cell shown: -10.57
Energy relative to the lowest polymorph listed for this composition in eV/atom: 0.344
Total magnetic moment in μB/cell: 0.00
Formation energy (no corrections) in meV/atom: -165

[4]
The following is a GGA-PBE calculation of a relaxed structure of NbMo, from Alexandria via LeMat-Bulk.

Cell lengths 7.2080, 7.2080, 7.2080 Å; angles 90.00, 90.00, 90.00 degrees
Atoms (fractional coordinates):
Nb: 0.0000 0.2500 0.5000
Nb: 0.0000 0.7500 0.5000
Nb: 0.2500 0.5000 0.0000
Nb: 0.5000 0.0000 0.2500
Nb: 0.5000 0.0000 0.7500
Nb: 0.7500 0.5000 0.0000
Mo: 0.0000 0.5000 0.2500
Mo: 0.0000 0.5000 0.7500
Mo: 0.2500 0.0000 0.5000
Mo: 0.5000 0.2500 0.0000
Mo: 0.5000 0.7500 0.0000
Mo: 0.7500 0.0000 0.5000

E_tot in eV for the cell shown: -94.84
Energy of formation from the pure elements in kJ/mol of atoms: 245.8
Total magnetic moment in μB/cell: 0.01

[5]
The following is a GGA-PBE calculation of a relaxed structure of KAcSn, from Alexandria via LeMat-Bulk.

Cell lengths 8.7953, 8.7953, 8.7953 Å; angles 154.13, 154.13, 36.91 degrees
Atoms (fractional coordinates):
K: 0.0000 0.0000 0.0000
Ac: 0.2658 0.2658 0.0000
Sn: 0.6455 0.6455 0.0000

E_tot in eV for the cell shown: -9.69
Energy relative to the lowest polymorph listed for this composition in eV/atom: 0.065
Energy of formation from the pure elements in kJ/mol of atoms: -15.6
Total magnetic moment in μB/cell: 0.02

Q: The lowest E_tot belongs to which entry?
A: NbMo